# 1
AsAuBr2, optimized geometry, DFT PBE-GGA; DOS(E_F) = 0.89 states/eV/cell; calculated volume = 29.43 Å³/atom; E = -2.70 eV/atom
1.0
-1.727 2.263 7.528
1.727 -2.263 7.528
1.727 2.263 -7.528
As Au Br
1 1 2
Cartesian
0.000 0.000 0.000
0.000 0.000 7.528
1.727 0.000 2.183
0.000 2.263 5.345

=====

# 2
Zr2TeAu, optimized geometry, DFT PBE-GGA; DOS(E_F) = 4.30 states/eV/cell; calculated volume = 22.39 Å³/atom; E = -6.40 eV/atom
1.0
3.834 0.000 0.000
0.000 3.834 0.000
0.000 0.000 6.093
Zr Te Au
2 1 1
Cartesian
0.000 0.000 0.000
1.917 1.917 1.858
1.917 1.917 4.895
0.000 0.000 2.964

=====

# 3
NdInI4, optimized geometry, DFT PBE-GGA; calculated volume = 50.85 Å³/atom; E = -3.37 eV/atom
1.0
8.640 -2.328 0.000
8.640 2.328 0.000
-4.246 0.000 7.583
Nd In I
1 1 4
Cartesian
0.000 0.000 0.000
6.517 0.000 3.792
-1.474 0.000 6.249
3.463 0.000 5.611
9.571 0.000 1.972
14.507 0.000 1.334

=====

# 4
ErScZnAu, optimized geometry, DFT PBE-GGA; DOS(E_F) = 4.52 states/eV/cell; calculated volume = 20.94 Å³/atom; energy of formation = -0.59 eV per atom
1.0
0.000 3.473 3.473
3.473 0.000 3.473
3.473 3.473 0.000
Er Sc Zn Au
1 1 1 1
Cartesian
0.000 0.000 0.000
3.473 3.473 3.473
5.209 5.209 5.209
1.736 1.736 1.736

=====

# 5
KAl7Zn12, optimized geometry, DFT PBE-GGA; DOS(E_F) = 10.06 states/eV/cell; calculated volume = 17.64 Å³/atom; energy of formation = 0.11 eV per atom
1.0
6.840 3.949 2.177
-6.840 3.949 2.177
0.000 -7.898 2.177
K Al Zn
1 7 12
Cartesian
0.000 0.000 0.000
0.000 -2.723 2.054
-2.358 1.361 2.054
-2.358 -1.361 4.477
0.000 0.000 3.266
2.358 1.361 2.054
2.358 -1.361 4.477
0.000 2.723 4.477
-1.791 -4.795 2.177
-5.048 0.846 2.177
-2.318 -1.338 1.848
1.791 -4.795 2.177
-3.257 3.949 2.177
2.318 -1.338 1.848
0.000 2.677 1.848
0.000 -2.677 4.683
-2.318 1.338 4.683
5.048 0.846 2.177
3.257 3.949 2.177
2.318 1.338 4.683

=====

# 6
Ac8Tl2Pb, optimized geometry, DFT PBE-GGA; DOS(E_F) = 12.19 states/eV/cell; calculated volume = 40.98 Å³/atom; energy of formation = -0.18 eV per atom
1.0
10.545 -2.850 0.000
10.545 2.850 0.000
-1.526 0.000 7.500
Ac Tl Pb
8 2 1
Cartesian
0.097 0.000 1.979
3.100 0.000 6.177
6.373 0.000 3.901
8.560 0.000 0.307
11.004 0.000 7.193
13.191 0.000 3.599
16.464 0.000 1.323
19.468 0.000 5.521
3.562 0.000 1.906
16.003 0.000 5.594
9.782 0.000 3.750

=====

# 7
CaTl2Re, optimized geometry, DFT PBE-GGA; DOS(E_F) = 6.17 states/eV/cell; calculated volume = 26.73 Å³/atom; energy of formation = 0.89 eV per atom
1.0
-2.319 2.319 9.941
2.319 -2.319 9.941
2.319 2.319 -9.941
Ca Tl Re
2 4 2
Cartesian
0.000 0.000 0.000
0.000 2.319 4.971
1.160 -0.927 7.456
1.392 1.160 2.485
1.160 3.246 -2.485
0.927 1.160 12.427
2.319 0.000 4.971
0.000 0.000 9.941

=====

# 8
TiNbIn2, optimized geometry, DFT PBE-GGA; DOS(E_F) = 1.91 states/eV/cell; calculated volume = 19.34 Å³/atom; energy of formation = -0.07 eV per atom
1.0
4.181 0.000 0.000
0.000 4.181 0.000
0.000 0.000 4.427
Ti Nb In
1 1 2
Cartesian
0.000 0.000 0.000
2.090 2.090 0.000
0.000 2.090 2.214
2.090 0.000 2.214

=====

# 9
K4Tm3ZrO8, optimized geometry, DFT PBE-GGA; DOS(E_F) = 3.91 states/eV/cell; calculated volume = 15.56 Å³/atom; E = -6.81 eV/atom
1.0
3.396 1.961 6.232
-3.396 1.961 6.232
0.000 -3.921 6.232
K Tm Zr O
4 3 1 8
Cartesian
0.000 0.000 0.000
-1.698 -0.980 6.232
-1.698 0.980 12.465
0.000 1.961 6.232
-3.396 0.000 9.349
-1.698 0.980 3.116
1.698 0.980 3.116
0.000 0.000 9.349
0.000 0.000 4.255
-1.654 -0.955 10.484
0.000 -1.910 8.214
-1.654 0.955 8.214
1.654 -0.955 10.484
0.000 1.910 10.484
1.654 0.955 8.214
0.000 0.000 14.443

=====

# 10
KCaCrN3, optimized geometry, DFT PBE-GGA; DOS(E_F) = 0.39 states/eV/cell; calculated volume = 14.60 Å³/atom; E = -6.78 eV/atom
1.0
2.900 -5.608 0.000
2.900 5.608 0.000
-1.099 0.000 5.386
K Ca Cr N
2 2 2 6
Cartesian
2.076 2.832 4.039
2.625 -2.832 1.346
2.625 4.669 1.346
2.076 -4.669 4.039
2.625 0.534 1.346
2.076 -0.534 4.039
1.072 0.325 2.796
2.625 2.202 1.346
1.622 -0.325 0.103
3.079 0.325 5.282
2.076 -2.202 4.039
3.628 -0.325 2.589

=====

# 11
RbPaS, optimized geometry, DFT PBE-GGA; DOS(E_F) = 9.81 states/eV/cell; calculated volume = 30.95 Å³/atom; E = -5.04 eV/atom
1.0
16.676 0.000 0.000
0.000 1.796 3.100
0.000 -1.796 3.100
Rb Pa S
2 2 2
Cartesian
2.263 0.000 0.000
14.413 0.000 0.000
6.472 0.000 2.740
10.204 0.000 2.740
0.000 0.000 2.075
8.338 0.000 0.671

=====

# 12
RuCClO2, optimized geometry, DFT PBE-GGA; DOS(E_F) = 2.85 states/eV/cell; calculated volume = 11.87 Å³/atom; E = -4.73 eV/atom
1.0
3.281 0.000 0.000
0.000 3.281 0.000
0.000 0.000 5.513
Ru C Cl O
1 1 1 2
Cartesian
0.000 0.000 0.000
1.640 1.640 2.757
1.640 1.640 0.000
0.000 1.640 2.757
1.640 0.000 2.757

=====

The highest calculated volume belongs to which entry? NdInI4

=====

Number 4 is which compound? ErScZnAu